[1]
# B2C3

B2C3 after structural relaxation (PBE-GGA, the Alexandria database).

Structure (extended XYZ):
```
10
Lattice="-3.978 -1.540 1.734 -2.087 -2.544 3.221 -2.414 3.181 5.217" Properties=species:S:1:pos:R:3 pbc="T T T"
B -3.377 -0.332 4.071
B -5.063 -0.477 6.117
B -6.635 -0.893 7.835
B -5.103 -2.981 4.477
C -0.051 -0.030 0.045
C -5.694 0.324 7.461
C -3.987 0.444 5.370
C -2.279 0.552 3.271
C -0.652 0.692 1.296
C -1.675 -0.117 2.051
```

## Properties
The value obtained for the distance to the lowest polymorph of the same formula is 71.1 meV/atom. Its crystal system is monoclinic. Its total energy is -79.0 eV for the cell shown. Its total magnetic moment is 0.00 μB/atom. As for the formation enthalpy at 0 K: 0.3072 eV/atom.


[2]
# AgP2Se

AgP2Se after structural relaxation (PBE-GGA, the Alexandria database).

Structure (extended XYZ):
```
4
Lattice="3.459 0.000 0.000 0.000 3.458 0.000 0.000 0.000 6.515" Properties=species:S:1:pos:R:3 pbc="T T T"
Ag 1.729 1.729 4.685
Se 0.000 0.000 3.378
P 0.000 0.000 1.090
P 1.729 1.729 0.621
```

## Properties
Its crystal system is tetragonal. Its total energy is -16.6 eV for the cell shown. Its total magnetic moment is 0.00 μB/atom. For the formation energy (no corrections), the calculation gives 0.6 eV per formula unit.


What did the first record say?
# B2C3

B2C3 after structural relaxation (PBE-GGA, the Alexandria database).

Structure (extended XYZ):
```
10
Lattice="-3.978 -1.540 1.734 -2.087 -2.544 3.221 -2.414 3.181 5.217" Properties=species:S:1:pos:R:3 pbc="T T T"
B -3.377 -0.332 4.071
B -5.063 -0.477 6.117
B -6.635 -0.893 7.835
B -5.103 -2.981 4.477
C -0.051 -0.030 0.045
C -5.694 0.324 7.461
C -3.987 0.444 5.370
C -2.279 0.552 3.271
C -0.652 0.692 1.296
C -1.675 -0.117 2.051
```

## Properties
The value obtained for the distance to the lowest polymorph of the same formula is 71.1 meV/atom. Its crystal system is monoclinic. Its total energy is -79.0 eV for the cell shown. Its total magnetic moment is 0.00 μB/atom. As for the formation enthalpy at 0 K: 0.3072 eV/atom.


Question: What is the formula in the first record?
Answer: B2C3